Record 1
Entry from the Alexandria database: TiH3Rh3 after structural relaxation (GGA-PBE).

It has space group Pm-3m (No. 221), with a = 3.999 Å, b = 3.999 Å, c = 3.999 Å, α = 90.00°, β = 90.00° and γ = 90.00°. The inequivalent atoms are Ti at (0.000, 0.000, 0.000), H at (0.000, 0.000, 0.500) and Rh at (0.000, 0.500, 0.500).

The crystal system is cubic.



Record 2
Entry from the Alexandria database: TiHRh3 after structural relaxation (GGA-PBE).

It has space group Pm-3m (No. 221), with a = 4.550 Å, b = 4.550 Å, c = 4.550 Å, α = 90.00°, β = 90.00° and γ = 90.00°. The inequivalent atoms are Ti at (0.000, 0.000, 0.000), H at (0.500, 0.500, 0.500) and Rh at (0.000, 0.000, 0.500).

The crystal system is cubic.



Record 3
Entry from the Alexandria database: TiHRh3 after structural relaxation (GGA-PBE).

It has space group R-3 (No. 148, hexagonal axes), with a = 4.8844 Å, b = 4.8844 Å, c = 19.1516 Å, α = 90.00°, β = 90.00° and γ = 120.00°. The inequivalent atoms are Ti at (0.0000, 0.0000, 0.1684), H at (0.0000, 0.0000, 0.3600) and Rh at (0.0052, 0.6593, 0.6018).

The crystal system is trigonal.



Record 4
Entry from the Alexandria database: TiHRh3 after structural relaxation (GGA-PBE).

It has space group P2_1/m (No. 11), with a = 4.430 Å, b = 5.547 Å, c = 4.873 Å, α = 90.00°, β = 90.37° and γ = 90.00°. The inequivalent atoms are Ti at (0.234, 0.250, 0.343), H at (0.477, 0.750, 0.986), Rh at (0.247, 0.005, 0.828) and Rh at (0.248, 0.750, 0.336).

The crystal system is monoclinic.



Record 5
Entry from the Alexandria database: TiHRh3 after structural relaxation (GGA-PBE).

It has space group Pnma (No. 62), with a = 5.128 Å, b = 7.112 Å, c = 7.148 Å, α = 90.00°, β = 90.00° and γ = 90.00°. The inequivalent atoms are Ti at (0.000, 0.000, 0.000), H at (0.090, 0.250, 0.427), Rh at (0.053, 0.577, 0.340) and Rh at (0.218, 0.750, 0.709).

The crystal system is orthorhombic.



Record 6
Entry from the Alexandria database: TiHRh3 after structural relaxation (GGA-PBE).

It has space group C2/m (No. 12), with a = 9.567 Å, b = 5.565 Å, c = 4.468 Å, α = 90.00°, β = 90.61° and γ = 90.00°. The inequivalent atoms are Ti at (0.158, 0.000, 0.277), H at (0.250, 0.250, 0.000), Rh at (0.081, 0.253, 0.749) and Rh at (0.164, 0.500, 0.257).

The crystal system is monoclinic.



Record 7
Entry from the Alexandria database: TiH3Rh3 after structural relaxation (GGA-PBE).

It has space group Pm-3n (No. 223), with a = 5.182 Å, b = 5.182 Å, c = 5.182 Å, α = 90.00°, β = 90.00° and γ = 90.00°. The inequivalent atoms are Ti at (0.000, 0.000, 0.000), H at (0.000, 0.250, 0.500) and Rh at (0.000, 0.500, 0.250).

The crystal system is cubic.



Record 8
Entry from the Alexandria database: TiHRh3 after structural relaxation (GGA-PBE).

It has space group P2_1/m (No. 11), with a = 4.807 Å, b = 5.604 Å, c = 4.830 Å, α = 90.00°, β = 109.74° and γ = 90.00°. The inequivalent atoms are Ti at (0.226, 0.250, 0.241), H at (0.342, 0.750, 0.624), Rh at (0.243, 0.014, 0.759) and Rh at (0.248, 0.750, 0.233).

The crystal system is monoclinic.



Energy above the lowest structure with this stoichiometry readings, ordered: 0.00; 9.26; 1.95; 0.41; 1.94; 0.20; 1.01; 0.74 eV/f.u.
D(E_F) readings, ordered: 4.73; 4.94; 1.81; 4.28; 4.34; 4.34; 5.55; 4.42 states/eV/f.u.
Total moment readings, ordered: 0.00; 1.34; 0.00; 0.00; 0.00; 0.00; 0.00; 0.00 μB/f.u.